No. 1
# BeZnBAu | OQMD | PBE-GGA | relaxed
data_BeZnBAu
_cell_length_a 5.855
_cell_length_b 5.855
_cell_length_c 5.855
_cell_angle_alpha 90.00
_cell_angle_beta 90.00
_cell_angle_gamma 90.00
_space_group_name_H-M_alt 'F -4 3 m'
_space_group_IT_number 216
_space_group_name_Hall 'F -4 2 3'
loop_
_atom_site_label
_atom_site_fract_x
_atom_site_fract_y
_atom_site_fract_z
Be1 0.000 0.000 0.000
Zn1 0.000 0.000 0.500
B1 0.250 0.250 0.250
Au1 0.250 0.250 0.750
# Density, g cm⁻³: 9.34
# Total DFT energy (no corrections), eV per atom: -3.0080
# Volume, Å³/f.u.: 50.2

---

No. 2
# BeZnBAu | OQMD | PBE-GGA | relaxed
data_BeZnBAu
_cell_length_a 5.725
_cell_length_b 5.725
_cell_length_c 5.725
_cell_angle_alpha 90.00
_cell_angle_beta 90.00
_cell_angle_gamma 90.00
_space_group_name_H-M_alt 'F -4 3 m'
_space_group_IT_number 216
_space_group_name_Hall 'F -4 2 3'
loop_
_atom_site_label
_atom_site_fract_x
_atom_site_fract_y
_atom_site_fract_z
Be1 0.000 0.000 0.000
Zn1 0.250 0.250 0.250
B1 0.000 0.000 0.500
Au1 0.250 0.250 0.750
# Density, g cm⁻³: 9.99
# Total DFT energy (no corrections), eV per atom: -3.1009
# Volume, Å³/f.u.: 46.9

---

No. 3
# BiBAu | OQMD | PBE-GGA | relaxed
data_BiBAu
_cell_length_a 6.375
_cell_length_b 6.375
_cell_length_c 6.375
_cell_angle_alpha 90.00
_cell_angle_beta 90.00
_cell_angle_gamma 90.00
_space_group_name_H-M_alt 'F -4 3 m'
_space_group_IT_number 216
_space_group_name_Hall 'F -4 2 3'
loop_
_atom_site_label
_atom_site_fract_x
_atom_site_fract_y
_atom_site_fract_z
Bi1 0.000 0.000 0.000
B1 0.000 0.000 0.500
Au1 0.250 0.250 0.750
# Density, g cm⁻³: 10.69
# Total DFT energy (no corrections), eV per atom: -3.5324
# Volume, Å³/f.u.: 64.8

---

No. 4
# Bi2BAu | OQMD | PBE-GGA | relaxed
data_Bi2BAu
_cell_length_a 7.193
_cell_length_b 7.193
_cell_length_c 7.193
_cell_angle_alpha 90.00
_cell_angle_beta 90.00
_cell_angle_gamma 90.00
_space_group_name_H-M_alt 'F -4 3 m'
_space_group_IT_number 216
_space_group_name_Hall 'F -4 2 3'
loop_
_atom_site_label
_atom_site_fract_x
_atom_site_fract_y
_atom_site_fract_z
Bi1 0.000 0.000 0.000
Bi2 0.250 0.250 0.250
B1 0.000 0.000 0.500
Au1 0.250 0.250 0.750
# Density, g cm⁻³: 11.17
# Total DFT energy (no corrections), eV per atom: -3.4356
# Volume, Å³/f.u.: 93.0

---

No. 5
# BiB2Au | OQMD | PBE-GGA | relaxed
data_BiB2Au
_cell_length_a 6.506
_cell_length_b 6.506
_cell_length_c 6.506
_cell_angle_alpha 90.00
_cell_angle_beta 90.00
_cell_angle_gamma 90.00
_space_group_name_H-M_alt 'F -4 3 m'
_space_group_IT_number 216
_space_group_name_Hall 'F -4 2 3'
loop_
_atom_site_label
_atom_site_fract_x
_atom_site_fract_y
_atom_site_fract_z
Bi1 0.000 0.000 0.000
B1 0.000 0.000 0.500
B2 0.250 0.250 0.750
Au1 0.250 0.250 0.250
# Density, g cm⁻³: 10.31
# Total DFT energy (no corrections), eV per atom: -3.4295
# Volume, Å³/f.u.: 68.8

---

No. 6
# CdB4Au | OQMD | PBE-GGA | relaxed
data_CdB4Au
_cell_length_a 3.080
_cell_length_b 5.277
_cell_length_c 8.195
_cell_angle_alpha 90.00
_cell_angle_beta 90.00
_cell_angle_gamma 90.00
_space_group_name_H-M_alt 'I m m m'
_space_group_IT_number 71
_space_group_name_Hall '-I 2 2'
loop_
_atom_site_label
_atom_site_fract_x
_atom_site_fract_y
_atom_site_fract_z
Cd1 0.000 0.000 0.000
B1 0.000 0.331 0.254
Au1 0.000 0.000 0.500
# Density, g cm⁻³: 8.79
# Total DFT energy (no corrections), eV per atom: -4.5763
# Volume, Å³/f.u.: 66.6